1.
PBE SrRe3Te, optimized geometry; space-group type = Pm-3m, No. 221
1.0
-0.866 -0.048 4.869
-4.774 -0.967 -0.858
0.960 -4.850 0.123
Re Te Sr
3 1 1
direct
0.000 0.500 0.000 Re
0.000 0.000 0.500 Re
0.500 0.000 0.000 Re
0.000 0.000 0.000 Te
0.500 0.500 0.500 Sr

---

2.
PBE SrReTe2, optimized geometry; space-group type = P4/mmm, No. 123
1.0
-6.289 -5.269 0.462
5.122 -0.883 0.541
-0.592 -1.458 3.228
Re Sr Te
1 1 2
direct
0.000 0.500 0.500 Re
0.500 0.500 0.000 Sr
0.000 0.000 0.000 Te
0.500 0.000 0.500 Te

---

3.
PBE SrReTe2, optimized geometry; space-group type = Cmmm, No. 65
1.0
-3.243 1.403 -0.103
0.207 -1.167 -3.331
-3.060 -6.910 2.232
Re Sr Te
1 1 2
direct
0.500 0.500 0.250 Re
0.500 0.500 0.750 Sr
0.000 0.000 0.044 Te
0.000 0.000 0.456 Te

---

4.
PBE SrReTe2, optimized geometry; space-group type = I-4m2, No. 119
1.0
-0.171 -5.177 -3.801
1.618 -5.841 2.130
-3.681 4.994 1.670
Re Sr Te
1 1 2
direct
0.500 0.500 0.000 Re
0.750 0.250 0.500 Sr
0.000 0.000 0.000 Te
0.250 0.750 0.500 Te

---

5.
PBE SrTiRe2, optimized geometry; DFT formation energy = 0.98 eV/atom; space-group type = Fm-3m, No. 225
1.0
0.000 3.313 3.313
3.313 0.000 3.313
3.313 3.313 0.000
Re Ti Sr
2 1 1
direct
0.250 0.250 0.250 Re
0.750 0.750 0.750 Re
0.000 0.000 0.000 Ti
0.500 0.500 0.500 Sr

---

6.
PBE SrTiRe2, optimized geometry; DFT formation energy = 1.02 eV/atom; space-group type = I4_1/amd, No. 141
1.0
-1.645 3.064 3.479
-2.426 -3.715 2.125
4.959 -2.105 7.678
Re Ti Sr
4 2 2
direct
0.375 0.125 0.250 Re
0.375 0.625 0.250 Re
0.375 0.625 0.750 Re
0.875 0.625 0.750 Re
0.500 0.500 0.000 Ti
0.250 0.750 0.500 Ti
0.000 0.000 0.000 Sr
0.750 0.250 0.500 Sr

---

Number 1: VASP energy -6.51 eV/atom. Number 2: VASP energy -4.86 eV/atom. Number 3: VASP energy -4.92 eV/atom. Number 4: VASP energy -4.65 eV/atom. Number 5: VASP energy -7.64 eV/atom. Number 6: VASP energy -7.60 eV/atom.